No. 1
The following is a DFT calculation (PBEsol) of crystalline ZnCrHg at its relaxed geometry.

Computed properties:
**Symmetry**: I4mm
**Total magnetization**: 3.42 μB per formula unit
**ΔH_f (0 K)**: 352 meV per atom

Unit cell a=5.8008 b=5.8008 c=5.8008 alpha=149.92 beta=149.92 gamma=43.05
Atoms (fractional coordinates):
Zn1 0.0000 0.0000 0.0000
Cr1 0.3555 0.3555 0.0000
Hg1 0.6792 0.6792 0.0000

***

No. 2
The following is a DFT calculation (PBEsol) of crystalline Cr4IrPt at its relaxed geometry.

Computed properties:
**Symmetry**: F-43m
**Total magnetization**: 0.00 μB per formula unit
**ΔH_f (0 K)**: -87 meV per atom

Unit cell a=4.6893 b=4.6893 c=4.6893 alpha=60.00 beta=60.00 gamma=60.00
Atoms (fractional coordinates):
Cr1 0.3776 0.3776 0.3776
Cr2 0.3776 0.3776 0.8672
Cr3 0.3776 0.8672 0.3776
Cr4 0.8672 0.3776 0.3776
Ir1 0.0000 0.0000 0.0000
Pt1 0.7500 0.7500 0.7500

***

No. 3
The following is a DFT calculation (PBEsol) of crystalline MnAgHg2 at its relaxed geometry.

Computed properties:
**Symmetry**: Pmm2
**Total magnetization**: 4.09 μB per formula unit
**ΔH_f (0 K)**: 236 meV per atom

Unit cell a=3.3039 b=3.4294 c=6.4387 alpha=90.00 beta=90.00 gamma=90.00
Atoms (fractional coordinates):
Mn1 0.0000 0.0000 0.0000
Ag1 0.5000 0.5000 0.2189
Hg1 0.0000 0.0000 0.4713
Hg2 0.5000 0.5000 0.7667

***

No. 4
The following is a DFT calculation (PBEsol) of crystalline Ta2MnCr at its relaxed geometry.

Computed properties:
**Symmetry**: P4/mmm
**Total magnetization**: 0.00 μB per formula unit
**ΔH_f (0 K)**: -136 meV per atom

Unit cell a=3.0416 b=3.0416 c=6.0961 alpha=90.00 beta=90.00 gamma=90.00
Atoms (fractional coordinates):
Ta1 0.0000 0.0000 0.2487
Ta2 0.0000 0.0000 0.7513
Mn1 0.5000 0.5000 0.0000
Cr1 0.5000 0.5000 0.5000

***

No. 5
The following is a DFT calculation (PBEsol) of crystalline Hf3TcMo at its relaxed geometry.

Computed properties:
**Symmetry**: Pm-3m
**Total magnetization**: 0.71 μB per formula unit
**ΔH_f (0 K)**: 1280 meV per atom

Unit cell a=4.8127 b=4.8127 c=4.8127 alpha=90.00 beta=90.00 gamma=90.00
Atoms (fractional coordinates):
Hf1 0.0000 0.0000 0.5000
Hf2 0.0000 0.5000 0.0000
Hf3 0.5000 0.0000 0.0000
Tc1 0.5000 0.5000 0.5000
Mo1 0.0000 0.0000 0.0000

***

No. 6
The following is a DFT calculation (PBEsol) of crystalline Y4Pt at its relaxed geometry.

Computed properties:
**Symmetry**: I4/m
**Total magnetization**: 0.00 μB per formula unit
**ΔH_f (0 K)**: -482 meV per atom

Unit cell a=6.3646 b=6.3646 c=6.3646 alpha=94.55 beta=94.55 gamma=147.27
Atoms (fractional coordinates):
Y1 0.0763 0.2615 0.3378
Y2 0.2615 0.9237 0.1851
Y3 0.7385 0.0763 0.8149
Y4 0.9237 0.7385 0.6622
Pt1 0.5000 0.5000 0.0000

***

No. 7
The following is a DFT calculation (PBEsol) of crystalline La7Pd3 at its relaxed geometry.

Computed properties:
**Symmetry**: P6_3mc
**Total magnetization**: 0.00 μB per formula unit
**ΔH_f (0 K)**: -486 meV per atom

Unit cell a=10.1775 b=10.1775 c=6.4463 alpha=90.00 beta=90.00 gamma=120.00
Atoms (fractional coordinates):
La1 0.0742 0.5371 0.0000
La2 0.1254 0.2508 0.2896
La3 0.1254 0.8746 0.2896
La4 0.2508 0.1254 0.7896
La5 0.3333 0.6667 0.5028
La6 0.4629 0.5371 0.0000
La7 0.4629 0.9258 0.0000
La8 0.5371 0.0742 0.5000
La9 0.5371 0.4629 0.5000
La10 0.6667 0.3333 0.0028
La11 0.7492 0.8746 0.2896
La12 0.8746 0.1254 0.7896
La13 0.8746 0.7492 0.7896
La14 0.9258 0.4629 0.5000
Pd1 0.1881 0.3762 0.7474
Pd2 0.1881 0.8119 0.7474
Pd3 0.3762 0.1881 0.2474
Pd4 0.6238 0.8119 0.7474
Pd5 0.8119 0.1881 0.2474
Pd6 0.8119 0.6238 0.2474

***

No. 8
The following is a DFT calculation (PBEsol) of crystalline NbGeP2S at its relaxed geometry.

Computed properties:
**Symmetry**: P4/mmm
**Total magnetization**: 0.00 μB per formula unit
**Raw formation energy**: 348 meV/atom

Unit cell a=4.8172 b=4.8172 c=4.6780 alpha=90.00 beta=90.00 gamma=90.00
Atoms (fractional coordinates):
Nb1 0.0000 0.0000 0.0000
Ge1 0.5000 0.5000 0.5000
P1 0.0000 0.5000 0.0000
P2 0.5000 0.0000 0.0000
S1 0.0000 0.0000 0.5000